A plane-wave DFT calculation with PBE-GGA was carried out for MoAsOs2 after structural relaxation.

Cell: 2.9315 2.9315 6.8760 Å, 90.00 90.00 90.00°
Last column: nearest neighbours and their distance in Å.
Space group P4/mmm (No. 123)
Unique sites:
Mo 0.0000 0.0000 0.0000 [1 per cell]  8 Os 2.78, 4 Mo 2.93
As 0.0000 0.0000 0.5000 [1 per cell]  8 Os 2.61
Os 0.5000 0.5000 0.2697 [2 per cell]  4 As 2.61, 4 Mo 2.78

## Properties
The volume comes out at 14.8 Å³ per atom. The crystal system is tetragonal. As for the formation energy: 0.7 eV/f.u. The calculation puts the total energy at -37.23 eV/cell.


A plane-wave DFT calculation with PBE-GGA was carried out for YTaBr2 after structural relaxation.

Cell: 4.7119 4.7119 18.1986 Å, 90.00 90.00 90.00°
Last column: nearest neighbours and their distance in Å.
Space group I-42d (No. 122)
Unique sites:
Y 0.0000 0.0000 0.0000 [4 per cell]  4 Br 2.86
Ta 0.0000 0.0000 0.5000 [4 per cell]  4 Br 2.78
Br 0.2287 0.2500 0.6250 [8 per cell]  2 Ta 2.78, 2 Y 2.86

## Properties
The value obtained for the formation energy (no corrections) is 0.023 eV per atom. The volume comes out at 25.3 Å³ per atom. The crystal system is tetragonal. The calculation puts the total energy at -86.28 eV/cell.